## A
{"formula": "Ac3YTe6", "functional": "PBE-GGA", "state": "relaxed", "cell": [[7.1794, 4.1450, 4.5402], [-7.1794, 4.1450, 4.5402], [0.0000, -8.2901, 4.5402]], "species": ["Ac", "Ac", "Ac", "Ac", "Ac", "Ac", "Y", "Y", "Te", "Te", "Te", "Te", "Te", "Te", "Te", "Te", "Te", "Te", "Te", "Te"], "frac_coords": [[0.1179, 0.6286, 0.2880], [0.2880, 0.1179, 0.6286], [0.3714, 0.7120, 0.8821], [0.6286, 0.2880, 0.1179], [0.7120, 0.8821, 0.3714], [0.8821, 0.3714, 0.7120], [0.0000, 0.0000, 0.0000], [0.5000, 0.5000, 0.5000], [0.0356, 0.6814, 0.9352], [0.0648, 0.9644, 0.3186], [0.1874, 0.4287, 0.5624], [0.3186, 0.0648, 0.9644], [0.4287, 0.5624, 0.1874], [0.4376, 0.8126, 0.5713], [0.5624, 0.1874, 0.4287], [0.5713, 0.4376, 0.8126], [0.6814, 0.9352, 0.0356], [0.8126, 0.5713, 0.4376], [0.9352, 0.0356, 0.6814], [0.9644, 0.3186, 0.0648]], "density_g_cm3": 6.29, "magmom_total_mub_per_fu": 0.0, "space_group": "R-3"}

## B
{"formula": "Ac3YTe6", "functional": "PBE-GGA", "state": "relaxed", "cell": [[7.7567, 0.0000, 0.0000], [0.0000, 8.6502, 0.0000], [-7.2375, 0.0000, 11.6633]], "species": ["Ac", "Ac", "Ac", "Ac", "Ac", "Ac", "Y", "Y", "Te", "Te", "Te", "Te", "Te", "Te", "Te", "Te", "Te", "Te", "Te", "Te"], "frac_coords": [[0.0000, 0.0000, 0.0000], [0.0000, 0.5000, 0.5000], [0.3052, 0.1113, 0.7578], [0.3052, 0.3887, 0.2578], [0.6948, 0.6113, 0.7422], [0.6948, 0.8887, 0.2422], [0.5000, 0.0000, 0.5000], [0.5000, 0.5000, 0.0000], [0.1076, 0.0506, 0.2632], [0.1076, 0.4494, 0.7632], [0.2536, 0.6737, 0.0780], [0.2536, 0.8263, 0.5780], [0.4155, 0.1866, 0.0722], [0.4155, 0.3134, 0.5722], [0.5845, 0.6866, 0.4278], [0.5845, 0.8134, 0.9278], [0.7464, 0.1737, 0.4220], [0.7464, 0.3263, 0.9220], [0.8924, 0.5506, 0.2368], [0.8924, 0.9494, 0.7368]], "density_g_cm3": 6.52, "magmom_total_mub_per_fu": 0.0, "space_group": "P2_1/c"}

Preferred: B; penalty for the next structure: 7 meV/atom.

## A
{"formula": "Ac2Th", "functional": "PBE-GGA", "state": "relaxed", "cell": [[0.0000, 4.9548, 4.9548], [4.9548, 0.0000, 4.9548], [4.9548, 4.9548, 0.0000]], "species": ["Ac", "Ac", "Ac", "Ac", "Th", "Th"], "frac_coords": [[0.0000, 0.0000, 0.0000], [0.0000, 0.0000, 0.5000], [0.0000, 0.5000, 0.0000], [0.5000, 0.0000, 0.0000], [0.3750, 0.3750, 0.3750], [0.6250, 0.6250, 0.6250]], "density_g_cm3": 9.37, "magmom_total_mub_per_fu": 0.0, "space_group": "Fd-3m"}

## B
{"formula": "Ac2Th", "functional": "PBE-GGA", "state": "relaxed", "cell": [[-1.9054, 2.7011, 5.8173], [1.9054, -2.7011, 5.8173], [1.9054, 2.7011, -5.8173]], "species": ["Ac", "Ac", "Th"], "frac_coords": [[0.1595, 0.1595, 0.0000], [0.8405, 0.8405, 0.0000], [0.5000, 0.5000, 0.0000]], "density_g_cm3": 9.51, "magmom_total_mub_per_fu": 0.0, "space_group": "Immm"}

Preferred: B; penalty for the next structure: 365 meV/atom.

## A
{"formula": "AcThTl", "functional": "PBE-GGA", "state": "relaxed", "cell": [[5.6513, 0.0000, 0.0000], [-2.8257, 4.8942, 0.0000], [0.0000, 0.0000, 3.8454]], "species": ["Ac", "Th", "Tl"], "frac_coords": [[0.0000, 0.0000, 0.0000], [0.6667, 0.3333, 0.5000], [0.3333, 0.6667, 0.5000]], "density_g_cm3": 10.36, "magmom_total_mub_per_fu": 0.0, "space_group": "P-6m2"}

## B
{"formula": "AcThTl", "functional": "PBE-GGA", "state": "relaxed", "cell": [[-2.0150, 2.0150, 6.4270], [2.0150, -2.0150, 6.4270], [2.0150, 2.0150, -6.4270]], "species": ["Ac", "Th", "Tl"], "frac_coords": [[0.0000, 0.0000, 0.0000], [0.3049, 0.3049, 0.0000], [0.6661, 0.6661, 0.0000]], "density_g_cm3": 10.55, "magmom_total_mub_per_fu": 0.0, "space_group": "I4mm"}

Preferred: B; penalty for the next structure: 107 meV/atom.